# 1
AcYTcO6 | PBE-GGA | relaxed Values from VASP.

```
&SYSTEM
  ibrav = 0, nat = 9, ntyp = 4
/
ATOMIC_SPECIES
Ac 227.00 Ac.upf
Y 88.91 Y.upf
Tc 98.00 Tc.upf
O 16.00 O.upf
CELL_PARAMETERS angstrom
-1.389 5.081 -1.801
-5.279 1.733 0.355
0.966 1.960 4.785
ATOMIC_POSITIONS angstrom
Ac -0.423 7.042 2.984
Y -3.962 5.523 1.429
Tc -1.740 3.252 1.911
O -1.585 1.370 1.430
O -0.007 3.204 2.801
O -1.976 5.119 2.414
O -2.625 2.672 3.547
O -3.450 3.374 0.985
O -0.795 3.770 0.287
```

Values from the calculation:
symmetry = No. 149
E_form (uncorrected) = -2507 meV/atom
calculated volume = 15.7 Å³/atom

# 2
AcZnTc2O8 | PBE-GGA | relaxed Values from VASP.

```
&SYSTEM
  ibrav = 0, nat = 12, ntyp = 4
/
ATOMIC_SPECIES
Ac 227.00 Ac.upf
Zn 65.41 Zn.upf
Tc 98.00 Tc.upf
O 16.00 O.upf
CELL_PARAMETERS angstrom
-1.475 0.907 -4.901
-4.236 -2.327 -1.912
-5.695 4.703 -0.172
ATOMIC_POSITIONS angstrom
Ac -5.703 1.641 -3.492
Zn 0.000 0.000 0.000
Tc -2.644 0.537 -1.861
Tc -8.762 2.745 -5.123
O -3.672 1.941 -1.292
O -3.137 0.693 -3.616
O -7.734 1.342 -5.692
O -4.954 0.208 -5.702
O -6.452 3.074 -1.282
O -5.300 -1.054 -3.216
O -6.106 4.336 -3.768
O -8.270 2.589 -3.368
```

Values from the calculation:
symmetry = No. 148
E_form (uncorrected) = -1654 meV/atom
calculated volume = 13.2 Å³/atom

# 3
Ac3Zn2TcO9 | PBE-GGA | relaxed Values from VASP.

```
&SYSTEM
  ibrav = 0, nat = 15, ntyp = 4
/
ATOMIC_SPECIES
Ac 227.00 Ac.upf
Zn 65.41 Zn.upf
Tc 98.00 Tc.upf
O 16.00 O.upf
CELL_PARAMETERS angstrom
5.738 0.000 0.000
-2.869 4.969 0.000
0.000 0.000 7.035
ATOMIC_POSITIONS angstrom
Ac 0.000 3.313 4.960
Ac 0.000 0.000 0.000
Ac 2.869 1.656 2.075
Zn 0.000 3.313 1.193
Zn 2.869 1.656 5.841
Tc 0.000 0.000 3.517
O 4.364 0.793 4.678
O 2.869 3.383 4.678
O 1.374 0.793 4.678
O 1.495 4.176 2.357
O 0.000 1.586 2.357
O -1.495 4.176 2.357
O 2.869 0.000 0.000
O -1.434 2.485 0.000
O 1.434 2.485 0.000
```

Values from the calculation:
symmetry = No. 164
E_form (uncorrected) = -2340 meV/atom
calculated volume = 13.4 Å³/atom

# 4
AcZnTcO6 | PBE-GGA | relaxed Values from VASP.

```
&SYSTEM
  ibrav = 0, nat = 9, ntyp = 4
/
ATOMIC_SPECIES
Ac 227.00 Ac.upf
Zn 65.41 Zn.upf
Tc 98.00 Tc.upf
O 16.00 O.upf
CELL_PARAMETERS angstrom
5.406 0.086 0.066
2.778 4.639 -0.066
0.064 -0.111 5.244
ATOMIC_POSITIONS angstrom
Ac 0.208 -0.028 5.244
Zn 5.512 3.109 2.622
Tc 2.835 1.563 2.622
O 1.109 1.667 1.572
O 2.063 0.016 3.673
O 4.328 1.602 3.721
O 1.879 2.677 3.769
O 3.616 2.836 1.523
O 3.322 0.178 1.476
```

Values from the calculation:
symmetry = No. 5
E_form (uncorrected) = -1874 meV/atom
calculated volume = 14.5 Å³/atom

# 5
Ac2ZnTcO6 | PBE-GGA | relaxed Values from VASP.

```
&SYSTEM
  ibrav = 0, nat = 20, ntyp = 4
/
ATOMIC_SPECIES
Ac 227.00 Ac.upf
Zn 65.41 Zn.upf
Tc 98.00 Tc.upf
O 16.00 O.upf
CELL_PARAMETERS angstrom
5.738 0.000 0.000
0.000 5.738 0.000
0.000 0.000 8.115
ATOMIC_POSITIONS angstrom
Ac 2.869 4.303 2.029
Ac 0.000 1.434 6.087
Ac 2.869 4.303 6.086
Ac 0.000 1.434 2.029
Zn 2.869 1.433 4.058
Zn 0.000 4.304 0.000
Tc 0.000 4.302 4.058
Tc 2.869 1.436 0.000
O 2.869 1.435 2.007
O 2.869 1.435 6.109
O 0.000 4.303 2.051
O 0.000 4.303 6.064
O 1.420 5.720 4.058
O 4.318 5.720 4.058
O 1.418 2.882 4.058
O 4.319 2.882 4.058
O 4.287 2.855 0.000
O 1.451 2.855 0.000
O 1.449 0.018 0.000
O 4.289 0.018 0.000
```

Values from the calculation:
symmetry = No. 225
E_form (uncorrected) = -2359 meV/atom
calculated volume = 13.4 Å³/atom

# 6
AcZn2TcO6 | PBE-GGA | relaxed Values from VASP.

```
&SYSTEM
  ibrav = 0, nat = 20, ntyp = 4
/
ATOMIC_SPECIES
Ac 227.00 Ac.upf
Zn 65.41 Zn.upf
Tc 98.00 Tc.upf
O 16.00 O.upf
CELL_PARAMETERS angstrom
6.760 0.408 0.424
2.579 7.022 0.429
2.579 0.168 7.033
ATOMIC_POSITIONS angstrom
Ac 4.269 5.634 1.970
Ac 7.649 1.964 5.915
Zn 5.760 5.312 5.089
Zn 2.778 2.505 2.176
Zn 6.158 2.286 2.795
Zn 9.140 5.093 5.709
Tc 4.269 1.481 5.972
Tc 7.649 6.117 1.913
O 5.715 7.051 6.203
O 2.824 1.456 0.397
O 6.204 0.547 1.682
O 9.095 6.142 7.488
O 6.404 6.046 3.257
O 2.134 4.363 1.510
O 5.514 1.551 4.628
O 9.784 3.234 6.375
O 3.920 5.421 4.406
O 4.618 3.192 2.092
O 7.998 2.177 3.479
O 7.300 4.406 5.792
```

Values from the calculation:
symmetry = No. 15
E_form (uncorrected) = -1749 meV/atom
calculated volume = 15.9 Å³/atom

# 7
AcTe2O5 | PBE-GGA | relaxed Values from VASP.

```
&SYSTEM
  ibrav = 0, nat = 32, ntyp = 3
/
ATOMIC_SPECIES
Ac 227.00 Ac.upf
Te 127.60 Te.upf
O 16.00 O.upf
CELL_PARAMETERS angstrom
-0.339 5.482 -5.720
4.411 -4.156 -4.245
-8.963 -5.081 -4.338
ATOMIC_POSITIONS angstrom
Ac -8.757 -0.709 -8.406
Ac -2.821 -3.509 -5.944
Ac -0.545 1.110 -1.653
Ac -2.070 -0.246 -8.359
Te -5.898 -5.897 -5.651
Te -5.532 -0.714 -6.202
Te -2.058 -1.734 -12.185
Te -5.258 -4.247 -8.906
Te 1.007 2.142 -8.652
Te 0.641 -3.041 -8.101
Te -2.834 -2.021 -2.118
Te 0.366 0.492 -5.397
O -4.022 -0.862 -3.336
O 1.407 1.725 -6.675
O -5.279 1.263 -6.722
O -6.299 -5.480 -7.628
O -1.257 0.845 -6.327
O -1.295 -1.012 -2.609
O 1.510 -2.685 -6.445
O 0.222 0.423 -8.887
O -3.635 -4.600 -7.976
O -3.597 -2.742 -11.694
O -6.401 -1.070 -7.858
O -5.113 -4.178 -5.416
O -2.511 -3.443 -3.379
O 0.051 1.792 -4.010
O 2.728 1.638 -9.358
O -1.088 -2.417 -7.521
O -2.380 -0.312 -10.924
O -4.943 -5.547 -10.293
O -7.619 -5.393 -4.945
O -3.803 -1.338 -6.782
```

Values from the calculation:
symmetry = No. 60
E_form (uncorrected) = -1657 meV/atom
calculated volume = 20.5 Å³/atom

# 8
AcTeO2 | PBE-GGA | relaxed Values from VASP.

```
&SYSTEM
  ibrav = 0, nat = 4, ntyp = 3
/
ATOMIC_SPECIES
Ac 227.00 Ac.upf
Te 127.60 Te.upf
O 16.00 O.upf
CELL_PARAMETERS angstrom
4.561 0.000 0.000
2.280 3.950 0.000
2.280 1.317 4.092
ATOMIC_POSITIONS angstrom
Ac 0.000 0.000 0.000
Te 4.561 2.633 2.046
O 2.280 1.317 1.516
O 6.841 3.950 2.576
```

Values from the calculation:
symmetry = No. 166
E_form (uncorrected) = -1396 meV/atom
calculated volume = 18.4 Å³/atom

# 9
AcTeO4 | PBE-GGA | relaxed Values from VASP.

```
&SYSTEM
  ibrav = 0, nat = 6, ntyp = 3
/
ATOMIC_SPECIES
Ac 227.00 Ac.upf
Te 127.60 Te.upf
O 16.00 O.upf
CELL_PARAMETERS angstrom
-1.788 -0.575 3.120
3.072 -3.061 3.321
1.204 3.975 3.548
ATOMIC_POSITIONS angstrom
Ac 1.691 0.313 4.215
Te -0.894 -0.288 1.560
O 0.825 0.627 1.760
O 2.465 -0.031 6.830
O 0.724 1.987 5.987
O 0.961 -1.908 5.404
```

Values from the calculation:
symmetry = No. 82
E_form (uncorrected) = -1722 meV/atom
calculated volume = 16.1 Å³/atom
energy above the most stable polymorph in this dataset = 0.2460 eV/atom

# 10
AcTeO3 | PBE-GGA | relaxed Values from VASP.

```
&SYSTEM
  ibrav = 0, nat = 10, ntyp = 3
/
ATOMIC_SPECIES
Ac 227.00 Ac.upf
Te 127.60 Te.upf
O 16.00 O.upf
CELL_PARAMETERS angstrom
-3.216 1.392 4.509
-5.649 -0.824 -0.158
-2.146 -5.828 3.885
ATOMIC_POSITIONS angstrom
Ac -2.864 -0.489 1.725
Ac -8.147 -4.771 6.511
Te -2.429 -3.723 3.033
Te -8.582 -1.537 5.202
O -3.898 -4.742 3.843
O -5.030 -3.841 6.448
O -4.180 -0.324 3.895
O -5.980 -1.419 1.787
O -7.113 -0.517 4.393
O -6.830 -4.936 4.340
```

Values from the calculation:
symmetry = No. 148
E_form (uncorrected) = -1809 meV/atom
calculated volume = 18.5 Å³/atom

# 11
Ac5Te2O12 | PBE-GGA | relaxed Values from VASP.

```
&SYSTEM
  ibrav = 0, nat = 19, ntyp = 3
/
ATOMIC_SPECIES
Ac 227.00 Ac.upf
Te 127.60 Te.upf
O 16.00 O.upf
CELL_PARAMETERS angstrom
-0.647 3.425 -5.641
5.791 -4.788 0.346
-6.442 -4.418 -2.146
ATOMIC_POSITIONS angstrom
Ac -0.779 -4.667 -2.900
Ac 2.257 -2.625 -1.838
Ac 2.560 -6.982 -0.756
Ac -3.533 -3.160 -5.580
Ac -0.516 -1.066 -4.574
Te -1.063 -6.572 -6.023
Te -0.270 0.738 -1.389
O -1.228 -0.723 -0.619
O -2.035 -7.001 -2.332
O -2.347 -5.321 -4.907
O 1.179 -4.865 -1.215
O 0.901 -3.065 -4.024
O -5.588 -1.743 -4.833
O 4.283 -4.062 -2.566
O -2.491 -0.913 -6.255
O -2.208 -2.653 -3.413
O 0.909 1.138 -5.099
O 1.033 -0.421 -2.431
O -0.184 -5.057 -6.947
```

Values from the calculation:
symmetry = No. 1
E_form (uncorrected) = -2597 meV/atom
calculated volume = 18.2 Å³/atom

# 12
AcTeO | PBE-GGA | relaxed Values from VASP.

```
&SYSTEM
  ibrav = 0, nat = 6, ntyp = 3
/
ATOMIC_SPECIES
Ac 227.00 Ac.upf
Te 127.60 Te.upf
O 16.00 O.upf
CELL_PARAMETERS angstrom
4.119 0.000 0.000
2.059 3.567 0.000
2.059 1.189 12.280
ATOMIC_POSITIONS angstrom
Ac 4.119 2.378 1.634
Ac 4.119 2.378 10.646
Te 6.178 3.567 4.230
Te 2.059 1.189 8.050
O 6.178 3.567 11.339
O 2.059 1.189 0.941
```

Values from the calculation:
symmetry = No. 166
E_form (uncorrected) = -2122 meV/atom
calculated volume = 30.1 Å³/atom
energy above the most stable polymorph in this dataset = 0.2378 eV/atom